Density functional theory data (PBE-GGA) for a relaxed CsK2AsPd crystal.

abc: 6.4407 6.4407 4.8285
angles: 90.00 90.00 90.00
Atoms (fractional coordinates):
1 Cs 0.0000 0.0000 0.0000
2 K 0.0000 0.5000 0.5000
3 K 0.5000 0.0000 0.5000
4 As 0.5000 0.5000 0.5000
5 Pd 0.5000 0.5000 0.0000

The calculation puts the theoretical density at 3.25 g/cm³. Its calculated volume is 40.1 Å³/atom. The value obtained for the formation energy is -0.1600 eV/atom. As for the magnetic moment: 0.42 μB per formula unit. Its uncorrected energy is -2.738 eV per atom.